# MgFeBRh2 | Alexandria via LeMat-Bulk | PBE-GGA | optimized geometry
# Crystal system = tetragonal
# E_form = -1.493 eV/f.u.
# E_tot = -6.59 eV/atom
# Total magnetic moment = 2.91 μB/cell
data_MgFeBRh2
_cell_length_a 4.124
_cell_length_b 4.124
_cell_length_c 3.926
_cell_angle_alpha 90.00
_cell_angle_beta 90.00
_cell_angle_gamma 90.00
_symmetry_space_group_name_H-M 'P 4/m m m'
_symmetry_Int_Tables_number 123
_symmetry_space_group_name_Hall '-P 4 2'
loop_
_atom_site_label
_atom_site_type_symbol
_atom_site_fract_x
_atom_site_fract_y
_atom_site_fract_z
Mg1 Mg 0.000 0.000 0.000
Fe1 Fe 0.500 0.500 0.000
B1 B 0.500 0.500 0.500
Rh1 Rh 0.000 0.500 0.500